[1]
First-principles (GGA-PBE) data for a relaxed PmY5 crystal, as listed in Alexandria via LeMat-Bulk.

Cell lengths 3.585, 3.585, 15.207 Å; angles 90.00, 90.00, 90.00 degrees
Element x y z (fractional)
Pm: 0.000 0.000 0.000
Y: 0.000 0.000 0.334
Y: 0.000 0.000 0.666
Y: 0.500 0.500 0.168
Y: 0.500 0.500 0.500
Y: 0.500 0.500 0.832

Calculated values
- Total magnetic moment: 0.00 μB per formula unit
- Electronic total energy: -6.16 eV/atom
- ΔH_f (0 K): 0.022 eV/atom
- Crystal system: tetragonal
- Theoretical density: 5.0 Mg/m³


[2]
First-principles (GGA-PBE) data for a relaxed Pm13Y2 crystal, as listed in Alexandria via LeMat-Bulk.

Cell lengths 6.760, 9.128, 9.130 Å; angles 66.39, 82.23, 82.27 degrees
Element x y z (fractional)
Pm: 0.000 0.000 0.000
Pm: 0.102 0.767 0.435
Pm: 0.195 0.206 0.196
Pm: 0.299 0.973 0.629
Pm: 0.307 0.639 0.961
Pm: 0.397 0.404 0.398
Pm: 0.496 0.835 0.168
Pm: 0.504 0.165 0.832
Pm: 0.603 0.596 0.602
Pm: 0.693 0.361 0.039
Pm: 0.701 0.027 0.371
Pm: 0.805 0.794 0.804
Pm: 0.898 0.233 0.565
Y: 0.098 0.431 0.769
Y: 0.902 0.569 0.231

Calculated values
- Total magnetic moment: 0.00 μB per formula unit
- Electronic total energy: -4.92 eV/atom
- ΔH_f (0 K): 0.057 eV/atom
- Crystal system: triclinic
- Theoretical density: 6.7 Mg/m³


[3]
First-principles (GGA-PBE) data for a relaxed Pm7Y2 crystal, as listed in Alexandria via LeMat-Bulk.

Cell lengths 9.956, 9.956, 3.564 Å; angles 90.00, 90.00, 120.00 degrees
Element x y z (fractional)
Pm: 0.000 0.000 0.000
Pm: 0.000 0.307 0.500
Pm: 0.000 0.639 0.000
Pm: 0.307 0.000 0.500
Pm: 0.361 0.361 0.000
Pm: 0.639 0.000 0.000
Pm: 0.693 0.693 0.500
Y: 0.333 0.667 0.500
Y: 0.667 0.333 0.500

Calculated values
- Total magnetic moment: 0.00 μB per formula unit
- Electronic total energy: -5.09 eV/atom
- ΔH_f (0 K): 0.039 eV/atom
- Crystal system: hexagonal
- Theoretical density: 6.5 Mg/m³


[4]
First-principles (GGA-PBE) data for a relaxed Pm3Y5 crystal, as listed in Alexandria via LeMat-Bulk.

Cell lengths 3.576, 3.576, 20.595 Å; angles 90.00, 90.00, 91.54 degrees
Element x y z (fractional)
Pm: 0.000 0.000 0.000
Pm: 0.500 0.500 0.128
Pm: 0.500 0.500 0.872
Y: 0.000 0.000 0.253
Y: 0.000 0.000 0.500
Y: 0.000 0.000 0.747
Y: 0.500 0.500 0.377
Y: 0.500 0.500 0.623

Calculated values
- Total magnetic moment: 0.00 μB per formula unit
- Electronic total energy: -5.80 eV/atom
- ΔH_f (0 K): 0.022 eV/atom
- Crystal system: orthorhombic
- Theoretical density: 5.5 Mg/m³


[5]
First-principles (GGA-PBE) data for a relaxed Pm5Y7 crystal, as listed in Alexandria via LeMat-Bulk.

Cell lengths 5.664, 5.664, 14.827 Å; angles 101.55, 101.55, 61.09 degrees
Element x y z (fractional)
Pm: 0.000 0.000 0.000
Pm: 0.140 0.140 0.436
Pm: 0.387 0.387 0.200
Pm: 0.613 0.613 0.800
Pm: 0.860 0.860 0.564
Y: 0.056 0.056 0.214
Y: 0.234 0.234 0.672
Y: 0.313 0.313 0.919
Y: 0.500 0.500 0.500
Y: 0.687 0.687 0.081
Y: 0.766 0.766 0.328
Y: 0.944 0.944 0.786

Calculated values
- Total magnetic moment: 0.00 μB per formula unit
- Electronic total energy: -5.57 eV/atom
- ΔH_f (0 K): 0.179 eV/atom
- Crystal system: monoclinic
- Theoretical density: 5.5 Mg/m³


[6]
First-principles (GGA-PBE) data for a relaxed Pm3Y7 crystal, as listed in Alexandria via LeMat-Bulk.

Cell lengths 9.507, 9.507, 7.201 Å; angles 100.91, 100.91, 30.95 degrees
Element x y z (fractional)
Pm: 0.000 0.000 0.000
Pm: 0.200 0.200 0.600
Pm: 0.800 0.800 0.400
Y: 0.000 0.000 0.500
Y: 0.200 0.200 0.100
Y: 0.400 0.400 0.199
Y: 0.400 0.400 0.700
Y: 0.600 0.600 0.300
Y: 0.600 0.600 0.801
Y: 0.800 0.800 0.900

Calculated values
- Total magnetic moment: 0.00 μB per formula unit
- Electronic total energy: -5.93 eV/atom
- ΔH_f (0 K): 0.018 eV/atom
- Crystal system: monoclinic
- Theoretical density: 5.3 Mg/m³


[7]
First-principles (GGA-PBE) data for a relaxed PmY2 crystal, as listed in Alexandria via LeMat-Bulk.

Cell lengths 3.600, 7.198, 8.027 Å; angles 103.00, 102.89, 90.17 degrees
Element x y z (fractional)
Pm: 0.167 0.083 0.334
Pm: 0.833 0.917 0.666
Y: 0.166 0.583 0.333
Y: 0.499 0.748 0.999
Y: 0.501 0.252 0.001
Y: 0.834 0.417 0.667

Calculated values
- Total magnetic moment: 0.00 μB per formula unit
- Electronic total energy: -5.88 eV/atom
- ΔH_f (0 K): 0.016 eV/atom
- Crystal system: triclinic
- Theoretical density: 5.4 Mg/m³


[8]
First-principles (GGA-PBE) data for a relaxed Pm13Y2 crystal, as listed in Alexandria via LeMat-Bulk.

Cell lengths 12.468, 12.468, 12.468 Å; angles 33.49, 33.49, 33.49 degrees
Element x y z (fractional)
Pm: 0.000 0.000 0.000
Pm: 0.042 0.546 0.546
Pm: 0.208 0.710 0.710
Pm: 0.290 0.290 0.792
Pm: 0.290 0.792 0.290
Pm: 0.454 0.454 0.958
Pm: 0.454 0.958 0.454
Pm: 0.546 0.042 0.546
Pm: 0.546 0.546 0.042
Pm: 0.710 0.208 0.710
Pm: 0.710 0.710 0.208
Pm: 0.792 0.290 0.290
Pm: 0.958 0.454 0.454
Y: 0.206 0.206 0.206
Y: 0.794 0.794 0.794

Calculated values
- Total magnetic moment: 0.00 μB per formula unit
- Electronic total energy: -4.83 eV/atom
- ΔH_f (0 K): 0.146 eV/atom
- Crystal system: trigonal
- Theoretical density: 6.5 Mg/m³


[9]
First-principles (GGA-PBE) data for a relaxed Pm2Y crystal, as listed in Alexandria via LeMat-Bulk.

Cell lengths 6.364, 6.362, 4.251 Å; angles 70.51, 70.46, 39.03 degrees
Element x y z (fractional)
Pm: 0.163 0.163 0.837
Pm: 0.837 0.837 0.163
Y: 0.500 0.500 0.500

Calculated values
- Total magnetic moment: 0.00 μB per formula unit
- Electronic total energy: -5.22 eV/atom
- ΔH_f (0 K): 0.106 eV/atom
- Crystal system: orthorhombic
- Theoretical density: 6.2 Mg/m³


[10]
First-principles (GGA-PBE) data for a relaxed Pm7Y5 crystal, as listed in Alexandria via LeMat-Bulk.

Cell lengths 9.598, 9.598, 13.300 Å; angles 117.62, 117.62, 21.85 degrees
Element x y z (fractional)
Pm: 0.000 0.000 0.000
Pm: 0.139 0.139 0.751
Pm: 0.167 0.167 0.501
Pm: 0.472 0.472 0.750
Pm: 0.528 0.528 0.250
Pm: 0.833 0.833 0.499
Pm: 0.861 0.861 0.249
Y: 0.195 0.195 0.249
Y: 0.333 0.333 0.999
Y: 0.500 0.500 0.500
Y: 0.667 0.667 0.001
Y: 0.805 0.805 0.751

Calculated values
- Total magnetic moment: 0.00 μB per formula unit
- Electronic total energy: -5.46 eV/atom
- ΔH_f (0 K): 0.005 eV/atom
- Crystal system: monoclinic
- Theoretical density: 6.0 Mg/m³


[11]
First-principles (GGA-PBE) data for a relaxed Pm8Y crystal, as listed in Alexandria via LeMat-Bulk.

Cell lengths 8.146, 8.146, 8.146 Å; angles 95.74, 95.74, 143.14 degrees
Element x y z (fractional)
Pm: 0.000 0.333 0.333
Pm: 0.000 0.667 0.667
Pm: 0.333 0.000 0.333
Pm: 0.333 0.333 0.667
Pm: 0.333 0.667 0.000
Pm: 0.667 0.000 0.667
Pm: 0.667 0.333 0.000
Pm: 0.667 0.667 0.333
Y: 0.000 0.000 0.000

Calculated values
- Total magnetic moment: 0.00 μB per formula unit
- Electronic total energy: -4.93 eV/atom
- ΔH_f (0 K): 0.013 eV/atom
- Crystal system: tetragonal
- Theoretical density: 6.7 Mg/m³


[12]
First-principles (GGA-PBE) data for a relaxed Pm4Y3 crystal, as listed in Alexandria via LeMat-Bulk.

Cell lengths 6.251, 6.251, 8.097 Å; angles 97.36, 97.36, 48.33 degrees
Element x y z (fractional)
Pm: 0.143 0.143 0.428
Pm: 0.286 0.286 0.858
Pm: 0.714 0.714 0.142
Pm: 0.857 0.857 0.572
Y: 0.000 0.000 0.000
Y: 0.428 0.428 0.286
Y: 0.572 0.572 0.714

Calculated values
- Total magnetic moment: 0.00 μB per formula unit
- Electronic total energy: -5.47 eV/atom
- ΔH_f (0 K): 0.014 eV/atom
- Crystal system: monoclinic
- Theoretical density: 6.0 Mg/m³


[13]
First-principles (GGA-PBE) data for a relaxed Pm7Y5 crystal, as listed in Alexandria via LeMat-Bulk.

Cell lengths 5.674, 5.674, 14.815 Å; angles 101.57, 101.57, 61.84 degrees
Element x y z (fractional)
Pm: 0.000 0.000 0.000
Pm: 0.182 0.182 0.584
Pm: 0.260 0.260 0.828
Pm: 0.460 0.460 0.288
Pm: 0.540 0.540 0.712
Pm: 0.740 0.740 0.172
Pm: 0.818 0.818 0.416
Y: 0.124 0.124 0.300
Y: 0.358 0.358 0.060
Y: 0.500 0.500 0.500
Y: 0.642 0.642 0.940
Y: 0.876 0.876 0.700

Calculated values
- Total magnetic moment: 0.00 μB per formula unit
- Electronic total energy: -5.30 eV/atom
- ΔH_f (0 K): 0.169 eV/atom
- Crystal system: monoclinic
- Theoretical density: 5.9 Mg/m³


[14]
First-principles (GGA-PBE) data for a relaxed Pm4Y crystal, as listed in Alexandria via LeMat-Bulk.

Cell lengths 13.121, 13.121, 13.121 Å; angles 164.07, 164.07, 22.60 degrees
Element x y z (fractional)
Pm: 0.099 0.099 0.000
Pm: 0.301 0.301 0.000
Pm: 0.699 0.699 0.000
Pm: 0.901 0.901 0.000
Y: 0.500 0.500 0.000

Calculated values
- Total magnetic moment: 0.00 μB per formula unit
- Electronic total energy: -5.08 eV/atom
- ΔH_f (0 K): 0.016 eV/atom
- Crystal system: tetragonal
- Theoretical density: 6.5 Mg/m³


[15]
First-principles (GGA-PBE) data for a relaxed PmY2 crystal, as listed in Alexandria via LeMat-Bulk.

Cell lengths 3.629, 3.629, 8.924 Å; angles 101.80, 101.80, 60.00 degrees
Element x y z (fractional)
Pm: 0.000 0.000 0.000
Y: 0.221 0.221 0.665
Y: 0.779 0.779 0.335

Calculated values
- Total magnetic moment: 0.00 μB per formula unit
- Electronic total energy: -5.90 eV/atom
- ΔH_f (0 K): -0.009 eV/atom
- Crystal system: monoclinic
- Theoretical density: 5.4 Mg/m³


[16]
First-principles (GGA-PBE) data for a relaxed PmY5 crystal, as listed in Alexandria via LeMat-Bulk.

Cell lengths 8.015, 8.015, 5.070 Å; angles 90.00, 90.00, 143.14 degrees
Element x y z (fractional)
Pm: 0.000 0.000 0.000
Y: 0.167 0.833 0.500
Y: 0.333 0.667 0.000
Y: 0.500 0.500 0.500
Y: 0.667 0.333 0.000
Y: 0.833 0.167 0.500

Calculated values
- Total magnetic moment: 0.00 μB per formula unit
- Electronic total energy: -6.16 eV/atom
- ΔH_f (0 K): 0.021 eV/atom
- Crystal system: orthorhombic
- Theoretical density: 5.0 Mg/m³


[17]
First-principles (GGA-PBE) data for a relaxed Pm2Y13 crystal, as listed in Alexandria via LeMat-Bulk.

Cell lengths 6.663, 8.791, 9.078 Å; angles 69.04, 84.04, 80.70 degrees
Element x y z (fractional)
Pm: 0.198 0.304 0.396
Pm: 0.802 0.696 0.604
Y: 0.000 0.500 0.000
Y: 0.095 0.924 0.693
Y: 0.135 0.694 0.266
Y: 0.237 0.076 0.975
Y: 0.335 0.498 0.668
Y: 0.431 0.920 0.361
Y: 0.467 0.697 0.934
Y: 0.533 0.303 0.066
Y: 0.569 0.080 0.639
Y: 0.665 0.502 0.332
Y: 0.763 0.924 0.025
Y: 0.865 0.306 0.734
Y: 0.905 0.076 0.307

Calculated values
- Total magnetic moment: 0.00 μB per formula unit
- Electronic total energy: -6.19 eV/atom
- ΔH_f (0 K): 0.042 eV/atom
- Crystal system: triclinic
- Theoretical density: 4.9 Mg/m³


[18]
First-principles (GGA-PBE) data for a relaxed PmY5 crystal, as listed in Alexandria via LeMat-Bulk.

Cell lengths 9.472, 9.472, 3.792 Å; angles 90.00, 90.00, 144.39 degrees
Element x y z (fractional)
Pm: 0.000 0.000 0.000
Y: 0.181 0.819 0.500
Y: 0.345 0.655 0.000
Y: 0.500 0.500 0.500
Y: 0.655 0.345 0.000
Y: 0.819 0.181 0.500

Calculated values
- Total magnetic moment: 0.00 μB per formula unit
- Electronic total energy: -6.08 eV/atom
- ΔH_f (0 K): 0.103 eV/atom
- Crystal system: orthorhombic
- Theoretical density: 4.9 Mg/m³


[19]
First-principles (GGA-PBE) data for a relaxed PmY11 crystal, as listed in Alexandria via LeMat-Bulk.

Cell lengths 11.320, 11.320, 3.530 Å; angles 90.00, 90.00, 120.00 degrees
Element x y z (fractional)
Pm: 0.000 0.000 0.000
Y: 0.000 0.500 0.000
Y: 0.177 0.354 0.500
Y: 0.177 0.823 0.500
Y: 0.333 0.667 0.000
Y: 0.354 0.177 0.500
Y: 0.500 0.000 0.000
Y: 0.500 0.500 0.000
Y: 0.646 0.823 0.500
Y: 0.667 0.333 0.000
Y: 0.823 0.177 0.500
Y: 0.823 0.646 0.500

Calculated values
- Total magnetic moment: 0.00 μB per formula unit
- Electronic total energy: -6.28 eV/atom
- ΔH_f (0 K): 0.044 eV/atom
- Crystal system: hexagonal
- Theoretical density: 4.8 Mg/m³


[20]
First-principles (GGA-PBE) data for a relaxed Pm6Y crystal, as listed in Alexandria via LeMat-Bulk.

Cell lengths 6.605, 6.605, 11.266 Å; angles 90.00, 90.00, 90.00 degrees
Element x y z (fractional)
Pm: 0.082 0.582 0.139
Pm: 0.082 0.918 0.861
Pm: 0.250 0.250 0.362
Pm: 0.250 0.250 0.638
Pm: 0.418 0.582 0.861
Pm: 0.418 0.918 0.139
Pm: 0.582 0.082 0.861
Pm: 0.582 0.418 0.139
Pm: 0.750 0.750 0.362
Pm: 0.750 0.750 0.638
Pm: 0.918 0.082 0.139
Pm: 0.918 0.418 0.861
Y: 0.250 0.750 0.500
Y: 0.750 0.250 0.500

Calculated values
- Total magnetic moment: 0.00 μB per formula unit
- Electronic total energy: -4.76 eV/atom
- ΔH_f (0 K): 0.234 eV/atom
- Crystal system: tetragonal
- Theoretical density: 6.5 Mg/m³